MnTlZn4: optimized geometry, PBE-GGA.

**V**: 104.1 Å³/f.u.
**Total magnetization**: 3.9 μB/f.u.
**Uncorrected energy**: -0.09393 Ha/atom

Lattice parameters (Å, degrees): 5.281 5.281 5.281 60.00 60.00 60.00
Sites, in units of the cell vectors:
Mn 0.750 0.750 0.750
Tl 0.000 0.000 0.000
Zn 0.871 0.376 0.376
Zn 0.376 0.376 0.871
Zn 0.376 0.871 0.376
Zn 0.376 0.376 0.376